#P
A plane-wave DFT calculation with PBE was carried out for crystalline Ti2Nb2Zn at its relaxed geometry.

## Properties
Density (kg/m³): 6614
N(E_F) (states/eV/f.u.): 5.15
Symmetry: No. 127
Total magnetic moment (μB per formula unit): 0.0

Structure (POSCAR):
```
Ti2Nb2Zn
1.0
6.958 0.000 0.000
0.000 6.958 0.000
0.000 0.000 3.599
Nb Ti Zn
4 4 2
Direct
0.332 0.168 0.500
0.668 0.832 0.500
0.168 0.668 0.500
0.832 0.332 0.500
0.365 0.865 0.000
0.865 0.635 0.000
0.635 0.135 0.000
0.135 0.365 0.000
0.500 0.500 0.000
0.000 0.000 0.000
```

---

#Q
A plane-wave DFT calculation with PBE was carried out for crystalline Ti2Nb2Zn at its relaxed geometry.

## Properties
Density (kg/m³): 6395
N(E_F) (states/eV/f.u.): 4.71
Symmetry: No. 127
Total magnetic moment (μB per formula unit): 0.0

Structure (POSCAR):
```
Ti2Nb2Zn
1.0
7.052 0.000 0.000
0.000 7.052 0.000
0.000 0.000 3.623
Ti Nb Zn
4 4 2
Direct
0.665 0.835 0.500
0.165 0.665 0.500
0.335 0.165 0.500
0.835 0.335 0.500
0.636 0.136 0.000
0.136 0.364 0.000
0.864 0.636 0.000
0.364 0.864 0.000
0.500 0.500 0.000
0.000 0.000 0.000
```

---

#R
A plane-wave DFT calculation with PBE was carried out for crystalline Ti2Nb2Zn at its relaxed geometry.

## Properties
Density (kg/m³): 6201
N(E_F) (states/eV/f.u.): 6.36
Symmetry: No. 139
Total magnetic moment (μB per formula unit): 0.0

Structure (POSCAR):
```
Ti2Nb2Zn
1.0
-0.679 -2.684 -2.487
3.113 -1.753 1.042
-2.249 -5.627 3.901
Nb Ti Zn
2 2 1
Direct
0.408 0.408 0.183
0.592 0.592 0.817
0.750 0.250 0.500
0.250 0.750 0.500
0.000 0.000 0.000
```

---

Stability order, top to bottom: #P, #Q, #R

---

#P
A plane-wave DFT calculation with PBE was carried out for crystalline Ti4NbZn at its relaxed geometry.

## Properties
Density (kg/m³): 5508
N(E_F) (states/eV/f.u.): 8.83
Symmetry: No. 10
Total magnetic moment (μB per formula unit): 0.0

Structure (POSCAR):
```
Ti4NbZn
1.0
2.784 0.182 0.001
-0.327 4.745 0.001
0.001 -0.001 7.949
Ti Nb Zn
4 1 1
Direct
0.497 0.001 0.818
0.998 0.501 0.691
0.997 0.501 0.313
0.498 0.001 0.186
0.997 0.001 0.502
0.497 0.501 0.002
```

---

#Q
A plane-wave DFT calculation with PBE was carried out for crystalline Ti4NbZn at its relaxed geometry.

## Properties
Density (kg/m³): 5783
N(E_F) (states/eV/f.u.): 7.32
Symmetry: No. 12
Total magnetic moment (μB per formula unit): 0.0

Structure (POSCAR):
```
Ti4NbZn
1.0
-2.527 2.289 1.522
-4.711 0.831 -4.490
-2.298 -2.130 3.968
Zn Nb Ti
1 1 4
Direct
0.500 0.500 0.500
0.000 0.000 0.000
0.161 0.173 0.504
0.674 0.661 0.991
0.839 0.827 0.496
0.326 0.339 0.009
```

---

Stability order, top to bottom: #Q, #P

---

#P
A plane-wave DFT calculation with PBE was carried out for crystalline Zr2TiNb at its relaxed geometry.

## Properties
Density (kg/m³): 6538
N(E_F) (states/eV/f.u.): 5.67
Symmetry: No. 8
Total magnetic moment (μB per formula unit): 0.0

Structure (POSCAR):
```
Zr2TiNb
1.0
4.738 0.003 0.077
2.361 4.108 0.077
2.300 1.332 4.269
Ti Zr Nb
1 2 1
Direct
0.767 0.767 0.700
0.241 0.241 0.279
0.010 0.010 0.971
0.483 0.483 0.551
```

---

#Q
A plane-wave DFT calculation with PBE was carried out for crystalline Zr2TiNb at its relaxed geometry.

## Properties
Density (kg/m³): 6522
N(E_F) (states/eV/f.u.): 7.36
Symmetry: No. 166
Total magnetic moment (μB per formula unit): 0.0

Structure (POSCAR):
```
Zr2TiNb
1.0
3.073 0.000 0.000
1.537 2.662 0.000
1.537 0.887 10.059
Nb Zr Ti
1 2 1
Direct
0.000 0.000 0.000
0.248 0.248 0.255
0.752 0.752 0.745
0.500 0.500 0.500
```

---

#R
A plane-wave DFT calculation with PBE was carried out for crystalline Zr2TiNb at its relaxed geometry.

## Properties
Density (kg/m³): 6581
N(E_F) (states/eV/f.u.): 7.27
Symmetry: No. 225
Total magnetic moment (μB per formula unit): 1.4

Structure (POSCAR):
```
Zr2TiNb
1.0
-3.488 -3.389 0.208
0.400 -4.069 -2.641
0.868 -4.254 2.201
Zr Nb Ti
2 1 1
Direct
0.250 0.250 0.250
0.750 0.750 0.750
0.000 0.000 0.000
0.500 0.500 0.500
```

---

#S
A plane-wave DFT calculation with PBE was carried out for crystalline Zr2TiNb at its relaxed geometry.

## Properties
Density (kg/m³): 6545
N(E_F) (states/eV/f.u.): 3.82
Symmetry: No. 8
Total magnetic moment (μB per formula unit): 0.0

Structure (POSCAR):
```
Zr2TiNb
1.0
-0.872 2.117 -2.096
-1.882 -0.740 -2.354
-8.536 2.603 4.600
Zr Ti Nb
2 1 1
Direct
0.268 0.268 0.256
0.139 0.139 0.746
0.526 0.526 0.499
0.566 0.566 0.999
```

---

Stability order, top to bottom: #R, #P, #S, #Q

---

#P
A plane-wave DFT calculation with PBE was carried out for crystalline ZrTiNb2 at its relaxed geometry.

## Properties
Density (kg/m³): 7015
N(E_F) (states/eV/f.u.): 5.57
Symmetry: No. 99
Total magnetic moment (μB per formula unit): 0.0

Structure (POSCAR):
```
ZrTiNb2
1.0
-3.296 0.411 -0.446
-0.194 -3.048 -1.381
-1.174 -2.721 6.171
Zr Nb Ti
1 2 1
Direct
0.500 0.500 0.247
0.500 0.500 0.752
0.000 0.000 0.974
0.000 0.000 0.528
```

---

#Q
A plane-wave DFT calculation with PBE was carried out for crystalline ZrTiNb2 at its relaxed geometry.

## Properties
Density (kg/m³): 7138
N(E_F) (states/eV/f.u.): 8.44
Symmetry: No. 225
Total magnetic moment (μB per formula unit): 0.0

Structure (POSCAR):
```
ZrTiNb2
1.0
0.000 3.356 3.356
3.356 0.000 3.356
3.356 3.356 0.000
Nb Zr Ti
2 1 1
Direct
0.750 0.750 0.750
0.250 0.250 0.250
0.500 0.500 0.500
0.000 0.000 0.000
```

---

#R
A plane-wave DFT calculation with PBE was carried out for crystalline ZrTiNb2 at its relaxed geometry.

## Properties
Density (kg/m³): 7132
N(E_F) (states/eV/f.u.): 7.89
Symmetry: No. 123
Total magnetic moment (μB per formula unit): 0.0

Structure (POSCAR):
```
ZrTiNb2
1.0
-2.009 2.318 1.403
-0.116 -2.525 4.005
3.803 2.337 1.584
Nb Zr Ti
2 1 1
Direct
0.000 0.500 0.000
0.000 0.000 0.500
0.500 0.500 0.500
0.500 0.000 0.000
```

---

Stability order, top to bottom: #P, #Q, #R

---

#P
A plane-wave DFT calculation with PBE was carried out for crystalline Nb2TlV at its relaxed geometry.

## Properties
Density (kg/m³): 8939
N(E_F) (states/eV/f.u.): 4.66
Symmetry: No. 166
Total magnetic moment (μB per formula unit): 0.0

Structure (POSCAR):
```
Nb2TlV
1.0
3.109 0.000 0.000
1.555 2.692 0.000
1.555 0.897 9.789
Nb Tl V
2 1 1
Direct
0.101 0.101 0.696
0.899 0.899 0.304
0.000 0.000 0.000
0.500 0.500 0.500
```

---

#Q
A plane-wave DFT calculation with PBE was carried out for crystalline Nb2TlV at its relaxed geometry.

## Properties
Density (kg/m³): 9296
N(E_F) (states/eV/f.u.): 4.96
Symmetry: No. 122
Total magnetic moment (μB per formula unit): 0.6

Structure (POSCAR):
```
Nb2TlV
1.0
-0.386 2.838 2.699
-3.826 0.307 -0.871
-4.274 -5.431 7.970
Nb Tl V
4 2 2
Direct
0.137 0.625 0.250
0.875 0.863 0.750
0.375 0.387 0.750
0.613 0.125 0.250
0.750 0.250 0.500
0.000 0.000 0.000
0.500 0.500 0.000
0.250 0.750 0.500
```

---

Stability order, top to bottom: #P, #Q

---

#P
A plane-wave DFT calculation with PBE was carried out for crystalline Nb2TlW at its relaxed geometry.

## Properties
Density (kg/m³): 11536
N(E_F) (states/eV/f.u.): 3.66
Symmetry: No. 122
Total magnetic moment (μB per formula unit): 0.0

Structure (POSCAR):
```
Nb2TlW
1.0
7.631 0.000 0.000
0.000 7.631 0.000
3.816 3.816 2.838
Nb W Tl
4 2 2
Direct
0.164 0.625 0.250
0.586 0.125 0.250
0.375 0.414 0.750
0.875 0.836 0.750
0.250 0.750 0.500
0.500 0.500 0.000
0.750 0.250 0.500
0.000 0.000 0.000
```

---

#Q
A plane-wave DFT calculation with PBE was carried out for crystalline Nb2TlW at its relaxed geometry.

## Properties
Density (kg/m³): 12747
N(E_F) (states/eV/f.u.): 6.49
Symmetry: No. 225
Total magnetic moment (μB per formula unit): 0.0

Structure (POSCAR):
```
Nb2TlW
1.0
-2.726 1.823 3.407
-0.996 4.623 0.011
-4.377 1.478 -1.011
W Tl Nb
1 1 2
Direct
0.000 0.000 0.000
0.500 0.500 0.500
0.750 0.750 0.750
0.250 0.250 0.250
```

---

Stability order, top to bottom: #Q, #P

---

#P
A plane-wave DFT calculation with PBE was carried out for crystalline Y2NbTl2 at its relaxed geometry.

## Properties
Density (kg/m³): 8577
N(E_F) (states/eV/f.u.): 5.99
Symmetry: No. 139
Total magnetic moment (μB per formula unit): 0.0

Structure (POSCAR):
```
Y2NbTl2
1.0
4.284 0.000 0.000
0.000 4.284 0.000
2.142 2.142 7.169
Tl Y Nb
2 2 1
Direct
0.595 0.595 0.811
0.405 0.405 0.189
0.250 0.750 0.500
0.750 0.250 0.500
0.000 0.000 0.000
```

---

#Q
A plane-wave DFT calculation with PBE was carried out for crystalline Y2NbTl2 at its relaxed geometry.

## Properties
Density (kg/m³): 8548
N(E_F) (states/eV/f.u.): 6.31
Symmetry: No. 127
Total magnetic moment (μB per formula unit): 2.2

Structure (POSCAR):
```
Y2NbTl2
1.0
-0.464 7.360 2.612
-4.624 -2.367 5.849
3.470 -0.660 2.476
Nb Y Tl
2 4 4
Direct
0.500 0.500 0.000
0.000 0.000 0.000
0.673 0.827 0.500
0.327 0.173 0.500
0.827 0.327 0.500
0.173 0.673 0.500
0.364 0.864 0.000
0.636 0.136 0.000
0.864 0.636 0.000
0.136 0.364 0.000
```

---

Stability order, top to bottom: #Q, #P

---

#P
A plane-wave DFT calculation with PBE was carried out for crystalline Zr2NbTl at its relaxed geometry.

## Properties
Density (kg/m³): 8796
N(E_F) (states/eV/f.u.): 5.06
Symmetry: No. 166
Total magnetic moment (μB per formula unit): 0.0

Structure (POSCAR):
```
Zr2NbTl
1.0
3.279 0.000 0.000
1.640 2.840 0.000
1.640 0.947 9.724
Zr Tl Nb
2 1 1
Direct
0.255 0.255 0.234
0.745 0.745 0.766
0.500 0.500 0.500
0.000 0.000 0.000
```

---

#Q
A plane-wave DFT calculation with PBE was carried out for crystalline Zr2NbTl at its relaxed geometry.

## Properties
Density (kg/m³): 8634
N(E_F) (states/eV/f.u.): 3.42
Symmetry: No. 122
Total magnetic moment (μB per formula unit): 0.0

Structure (POSCAR):
```
Zr2NbTl
1.0
-1.385 -3.942 0.009
3.366 -1.177 2.177
-4.200 -0.716 10.116
Zr Nb Tl
4 2 2
Direct
0.375 0.384 0.750
0.875 0.866 0.750
0.134 0.625 0.250
0.616 0.125 0.250
0.500 0.500 0.000
0.250 0.750 0.500
0.000 0.000 0.000
0.750 0.250 0.500
```

---

#R
A plane-wave DFT calculation with PBE was carried out for crystalline Zr2NbTl at its relaxed geometry.

## Properties
Density (kg/m³): 9135
N(E_F) (states/eV/f.u.): 4.38
Symmetry: No. 123
Total magnetic moment (μB per formula unit): 0.0

Structure (POSCAR):
```
Zr2NbTl
1.0
3.582 0.000 0.000
0.000 3.582 0.000
0.000 0.000 6.797
Zr Tl Nb
2 1 1
Direct
0.000 0.000 0.771
0.000 0.000 0.229
0.500 0.500 0.500
0.500 0.500 0.000
```

---

#S
A plane-wave DFT calculation with PBE was carried out for crystalline Zr2NbTl at its relaxed geometry.

## Properties
Density (kg/m³): 9332
N(E_F) (states/eV/f.u.): 5.81
Symmetry: No. 123
Total magnetic moment (μB per formula unit): 0.0

Structure (POSCAR):
```
Zr2NbTl
1.0
-1.378 3.135 -1.975
1.846 -1.663 -3.927
-3.945 -2.291 -0.884
Zr Tl Nb
2 1 1
Direct
0.000 0.000 0.500
0.000 0.500 0.000
0.500 0.500 0.500
0.500 0.000 0.000
```

---

Stability order, top to bottom: #R, #S, #P, #Q

---

#P
A plane-wave DFT calculation with PBE was carried out for crystalline ZrNb3Tl at its relaxed geometry.

## Properties
Density (kg/m³): 7816
N(E_F) (states/eV/f.u.): 6.12
Symmetry: No. 221
Total magnetic moment (μB per formula unit): 0.0

Structure (POSCAR):
```
ZrNb3Tl
1.0
-3.256 -3.547 -1.191
2.499 -3.236 2.807
-2.785 1.243 3.912
Tl Nb Zr
1 3 1
Direct
0.500 0.500 0.500
0.000 0.500 0.000
0.000 0.000 0.500
0.500 0.000 0.000
0.000 0.000 0.000
```

---

#Q
A plane-wave DFT calculation with PBE was carried out for crystalline ZrNb3Tl at its relaxed geometry.

## Properties
Density (kg/m³): 7242
N(E_F) (states/eV/f.u.): 8.75
Symmetry: No. 221
Total magnetic moment (μB per formula unit): 0.0

Structure (POSCAR):
```
ZrNb3Tl
1.0
5.088 0.000 0.000
0.000 5.088 0.000
0.000 0.000 5.088
Zr Tl Nb
1 1 3
Direct
0.500 0.500 0.500
0.000 0.000 0.000
0.000 0.000 0.500
0.000 0.500 0.000
0.500 0.000 0.000
```

---

Stability order, top to bottom: #P, #Q

---

#P
A plane-wave DFT calculation with PBE was carried out for crystalline Zr3NbTl at its relaxed geometry.

## Properties
Density (kg/m³): 6477
N(E_F) (states/eV/f.u.): 14.78
Symmetry: No. 221
Total magnetic moment (μB per formula unit): 1.9

Structure (POSCAR):
```
Zr3NbTl
1.0
-4.619 -1.692 -1.890
0.830 -4.718 2.197
-2.398 1.628 4.402
Tl Zr Nb
1 3 1
Direct
0.000 0.000 0.000
0.000 0.500 0.000
0.500 0.000 0.000
0.000 0.000 0.500
0.500 0.500 0.500
```

---

#Q
A plane-wave DFT calculation with PBE was carried out for crystalline Zr3NbTl at its relaxed geometry.

## Properties
Density (kg/m³): 7086
N(E_F) (states/eV/f.u.): 8.33
Symmetry: No. 221
Total magnetic moment (μB per formula unit): 0.0

Structure (POSCAR):
```
Zr3NbTl
1.0
-0.399 -3.014 4.113
-0.887 -4.022 -3.033
5.021 -0.949 -0.209
Tl Zr Nb
1 3 1
Direct
0.500 0.500 0.500
0.000 0.500 0.000
0.500 0.000 0.000
0.000 0.000 0.500
0.000 0.000 0.000
```

---

Stability order, top to bottom: #Q, #P

---

#P
A plane-wave DFT calculation with PBE was carried out for crystalline Tm3Nb at its relaxed geometry.

## Properties
Density (kg/m³): 9525
N(E_F) (states/eV/f.u.): 4.86
Symmetry: No. 44
Total magnetic moment (μB per formula unit): 0.0

Structure (POSCAR):
```
Tm3Nb
1.0
3.357 0.000 0.000
0.000 5.862 0.000
-1.679 -2.931 5.312
Nb Tm
1 3
Direct
0.000 0.009 0.000
0.500 0.480 0.000
0.264 0.603 0.528
0.736 0.075 0.472
```

---

#Q
A plane-wave DFT calculation with PBE was carried out for crystalline Tm3Nb at its relaxed geometry.

## Properties
Density (kg/m³): 9542
N(E_F) (states/eV/f.u.): 5.74
Symmetry: No. 25
Total magnetic moment (μB per formula unit): 0.0

Structure (POSCAR):
```
Tm3Nb
1.0
3.344 0.000 0.000
0.000 5.269 0.000
0.000 0.000 5.923
Nb Tm
1 3
Direct
0.000 0.000 0.005
0.500 0.000 0.511
0.500 0.500 0.839
0.000 0.500 0.311
```

---

Stability order, top to bottom: #Q, #P